Below is an optimized crystal structure of PmErZn, with properties calculated at the PBE level.

a b c (Å): 4.985 4.985 4.984
angles (deg): 89.97 120.03 120.03
Atoms (fractional coordinates):
Pm1 0.944 0.472 0.417
Er1 0.944 0.972 0.917
Zn1 0.444 0.222 0.667

Results
Crystal system: cubic
Total energy (eV per atom): -3.50
Fermi-level density of states (states/eV/cell): 4.24
Polymorph energy (0 for the lowest one) (eV per atom): 0.2325
Energy relative to the elements (eV per formula unit): 0.081

=====

Below is an optimized crystal structure of PmEr2Zn, with properties calculated at the PBE level.

a b c (Å): 4.761 4.742 4.742
angles (deg): 90.00 90.00 90.00
Atoms (fractional coordinates):
Zn1 0.500 0.000 0.000
Pm1 0.500 0.500 0.500
Er1 0.000 0.000 0.500
Er2 0.000 0.500 0.000

Results
Crystal system: tetragonal
Total energy (eV per atom): -3.82
Fermi-level density of states (states/eV/cell): 5.50
Polymorph energy (0 for the lowest one) (eV per atom): 0.1371
Energy relative to the elements (eV per formula unit): -0.117

=====

Below is an optimized crystal structure of PmErZn2, with properties calculated at the PBE level.

a b c (Å): 3.575 3.575 7.285
angles (deg): 90.00 90.00 90.00
Atoms (fractional coordinates):
Zn1 0.000 0.000 0.769
Zn2 0.000 0.000 0.231
Pm1 0.500 0.500 0.500
Er1 0.500 0.500 0.000

Results
Crystal system: tetragonal
Total energy (eV per atom): -3.29
Fermi-level density of states (states/eV/cell): 4.41
Energy relative to the elements (eV per formula unit): -1.308

=====

Below is an optimized crystal structure of PmErZn2, with properties calculated at the PBE level.

a b c (Å): 3.614 3.614 9.268
angles (deg): 78.76 78.76 60.00
Atoms (fractional coordinates):
Zn1 0.747 0.747 0.760
Zn2 0.253 0.253 0.240
Pm1 0.500 0.500 0.500
Er1 0.000 0.000 0.000

Results
Crystal system: trigonal
Total energy (eV per atom): -3.07
Fermi-level density of states (states/eV/cell): 4.85
Energy relative to the elements (eV per formula unit): -0.427

=====

Below is an optimized crystal structure of PmEr2Zn9, with properties calculated at the PBE level.

a b c (Å): 5.448 5.448 9.129
angles (deg): 72.64 72.64 60.00
Atoms (fractional coordinates):
Pm1 0.000 0.000 0.000
Er1 0.859 0.859 0.422
Er2 0.141 0.141 0.578
Zn1 0.665 0.665 0.005
Zn2 0.335 0.335 0.995
Zn3 0.500 0.500 0.500
Zn4 0.413 0.413 0.250
Zn5 0.923 0.413 0.250
Zn6 0.413 0.923 0.250
Zn7 0.587 0.587 0.750
Zn8 0.587 0.077 0.750
Zn9 0.077 0.587 0.750

Results
Crystal system: trigonal
Total energy (eV per atom): -2.43
Fermi-level density of states (states/eV/cell): 7.01
Energy relative to the elements (eV per formula unit): -3.858

=====

Below is an optimized crystal structure of PmErZn3, with properties calculated at the PBE level.

a b c (Å): 4.509 3.642 13.574
angles (deg): 97.71 90.00 90.00
Atoms (fractional coordinates):
Pm1 0.250 0.074 0.148
Pm2 0.750 0.926 0.852
Er1 0.250 0.790 0.580
Er2 0.750 0.210 0.420
Zn1 0.250 0.379 0.758
Zn2 0.750 0.621 0.242
Zn3 0.250 0.476 0.953
Zn4 0.750 0.524 0.047
Zn5 0.750 0.325 0.650
Zn6 0.250 0.675 0.350

Results
Crystal system: orthorhombic
Total energy (eV per atom): -2.96
Fermi-level density of states (states/eV/cell): 12.31
Polymorph energy (0 for the lowest one) (eV per atom): 0.0000
Energy relative to the elements (eV per formula unit): -1.646